[1]
DFT (GGA-PBE) results for a relaxed PrThRuCl crystal.

Values from the calculation:
Formation energy without anion corrections in eV per atom: -0.9392
Crystal system: trigonal
Symmetry: R3m

a = 4.066 Å, b = 4.066 Å, c = 8.188 Å
α = 89.99°, β = 104.37°, γ = 120.00°
Sites, in units of the cell vectors:
Pr1 0.499 0.147 0.661
Th1 0.096 0.946 0.057
Ru1 0.314 0.555 0.884
Cl1 0.969 0.383 0.367



[2]
DFT (GGA-PBE) results for a relaxed SbPSe crystal.

Values from the calculation:
Formation energy without anion corrections in eV per atom: 0.1002
Distance to the lowest polymorph of the same formula in eV per atom: 0.112
Crystal system: triclinic
Symmetry: P1

a = 5.502 Å, b = 5.776 Å, c = 6.634 Å
α = 71.71°, β = 75.60°, γ = 74.87°
Sites, in units of the cell vectors:
Sb1 0.225 0.298 0.588
Sb2 0.317 0.789 0.290
P1 0.696 0.141 0.415
P2 0.769 0.525 0.349
Se1 0.103 0.599 0.067
Se2 0.625 0.087 0.783



[3]
DFT (GGA-PBE) results for a relaxed YAl2Re2 crystal.

Values from the calculation:
DFT formation energy in eV/atom: -0.015
Distance to the lowest polymorph of the same formula in eV per atom: 0.044
Crystal system: tetragonal
Symmetry: I4/mmm

a = 4.424 Å, b = 4.424 Å, c = 5.856 Å
α = 67.81°, β = 67.81°, γ = 90.00°
Sites, in units of the cell vectors:
Y1 0.000 0.000 0.000
Re1 0.382 0.382 0.235
Re2 0.618 0.618 0.765
Al1 0.750 0.250 0.500
Al2 0.250 0.750 0.500



[4]
DFT (GGA-PBE) results for a relaxed KTa2HgOs crystal.

Values from the calculation:
DFT formation energy in eV/atom: 1.066
Crystal system: tetragonal
Symmetry: P4/mmm

a = 4.908 Å, b = 5.483 Å, c = 4.908 Å
α = 90.00°, β = 90.00°, γ = 90.00°
Sites, in units of the cell vectors:
K1 0.500 0.500 0.500
Os1 0.000 0.000 0.000
Hg1 0.000 0.500 0.000
Ta1 0.000 0.000 0.500
Ta2 0.500 0.000 0.000



no.,V (Å³ per cell),total magnetization (Bohr magnetons per cell)
1,112,0.00
2,190,0.00
3,97,0.00
4,132,0.00